(1)
# NdHoPa2Sb4

Crystalline NdHoPa2Sb4 at its relaxed geometry (GGA-PBE, Alexandria).

Results
Total energy (eV per atom): -6.380

abc: 7.6161 4.3980 7.6715
angles: 90.00 109.32 90.00
Space group P2/m (No. 10)
Asymmetric unit:
Nd: 0.0000 0.0000 0.0000 [1 per cell]
Ho: 0.5000 0.5000 0.0000 [1 per cell]
Pa: 0.0000 0.5000 0.5000 [1 per cell]
Pa: 0.5000 0.0000 0.5000 [1 per cell]
Sb: 0.2543 0.0000 0.7488 [2 per cell]
Sb: 0.2564 0.5000 0.2548 [2 per cell]


(2)
# Nd2HoPaSb5

Crystalline Nd2HoPaSb5 at its relaxed geometry (GGA-PBE, Alexandria).

Results
Total energy (eV per atom): -5.108

abc: 5.4862 5.4862 11.5977
angles: 90.00 90.00 90.00
Space group P4/mmm (No. 123)
Asymmetric unit:
Nd: 0.0000 0.0000 0.2225 [2 per cell]
Ho: 0.5000 0.5000 0.5000 [1 per cell]
Pa: 0.5000 0.5000 0.0000 [1 per cell]
Sb: 0.0000 0.0000 0.5000 [1 per cell]
Sb: 0.0000 0.5000 0.0000 [2 per cell]
Sb: 0.5000 0.5000 0.2540 [2 per cell]


(3)
# NdHo2PaSe4

Crystalline NdHo2PaSe4 at its relaxed geometry (GGA-PBE, Alexandria).

Results
Total energy (eV per atom): -6.273

abc: 7.0578 4.0366 7.2289
angles: 90.00 108.63 90.00
Space group P2/m (No. 10)
Asymmetric unit:
Nd: 0.0000 0.0000 0.0000 [1 per cell]
Ho: 0.0000 0.5000 0.5000 [1 per cell]
Ho: 0.5000 0.0000 0.5000 [1 per cell]
Pa: 0.5000 0.5000 0.0000 [1 per cell]
Se: 0.2508 0.0000 0.7407 [2 per cell]
Se: 0.2587 0.5000 0.2624 [2 per cell]


(4)
# Nd2Ho3Pb

Crystalline Nd2Ho3Pb at its relaxed geometry (GGA-PBE, Alexandria).

Results
E_form (eV/atom): -0.17
Total energy (eV per atom): -4.663

abc: 4.8937 15.3535 4.9528
angles: 90.00 90.00 90.00
Space group Cmmm (No. 65)
Asymmetric unit:
Nd: 0.0000 0.1616 0.0000 [4 per cell]
Ho: 0.0000 0.0000 0.5000 [2 per cell]
Ho: 0.0000 0.3338 0.5000 [4 per cell]
Pb: 0.0000 0.5000 0.0000 [2 per cell]


(5)
# NdHo4Pb5

Crystalline NdHo4Pb5 at its relaxed geometry (GGA-PBE, Alexandria).

Results
E_form (eV/atom): -0.33
Total energy (eV per atom): -4.488

abc: 9.9818 9.9818 6.3146
angles: 90.00 90.00 90.00
Space group I4 (No. 79)
Asymmetric unit:
Nd: 0.0000 0.0000 0.0000 [2 per cell]
Ho: 0.1038 0.7024 0.4980 [8 per cell]
Pb: 0.0000 0.0000 0.5002 [2 per cell]
Pb: 0.0989 0.6933 0.9979 [8 per cell]


(6)
# NdHoPb2

Crystalline NdHoPb2 at its relaxed geometry (GGA-PBE, Alexandria).

Results
E_form (eV/atom): -0.38
Total energy (eV per atom): -4.569

abc: 8.1321 3.6777 16.8837
angles: 90.00 90.00 90.00
Space group Pnma (No. 62)
Asymmetric unit:
Nd: 0.0544 0.2500 0.1342 [4 per cell]
Ho: 0.0451 0.7500 0.3910 [4 per cell]
Pb: 0.1999 0.2500 0.7526 [4 per cell]
Pb: 0.2357 0.7500 0.9983 [4 per cell]


(7)
# NdHoPb2

Crystalline NdHoPb2 at its relaxed geometry (GGA-PBE, Alexandria).

Results
E_form (eV/atom): -0.46
Total energy (eV per atom): -4.655

abc: 3.5773 3.5773 9.0735
angles: 90.00 90.00 90.00
Space group P4/mmm (No. 123)
Asymmetric unit:
Nd: 0.0000 0.0000 0.0000 [1 per cell]
Ho: 0.0000 0.0000 0.5000 [1 per cell]
Pb: 0.5000 0.5000 0.2586 [2 per cell]


(8)
# NdHo2Pb9

Crystalline NdHo2Pb9 at its relaxed geometry (GGA-PBE, Alexandria).

Results
E_form (eV/atom): -0.30
Total energy (eV per atom): -4.238

abc: 4.8994 4.8994 14.6403
angles: 90.00 90.00 90.00
Space group P4/mmm (No. 123)
Asymmetric unit:
Nd: 0.0000 0.0000 0.0000 [1 per cell]
Ho: 0.0000 0.0000 0.3343 [2 per cell]
Pb: 0.0000 0.5000 0.1706 [4 per cell]
Pb: 0.0000 0.5000 0.5000 [2 per cell]
Pb: 0.5000 0.5000 0.0000 [1 per cell]
Pb: 0.5000 0.5000 0.3353 [2 per cell]


(9)
# NdHo3Pb2

Crystalline NdHo3Pb2 at its relaxed geometry (GGA-PBE, Alexandria).

Results
E_form (eV/atom): -0.33
Total energy (eV per atom): -4.649

abc: 18.3070 4.6153 9.5947
angles: 90.00 113.29 90.00
Space group C2/m (No. 12)
Asymmetric unit:
Nd: 0.1145 0.0000 0.1313 [4 per cell]
Ho: 0.0579 0.0000 0.6872 [4 per cell]
Ho: 0.1427 0.5000 0.4849 [4 per cell]
Ho: 0.1923 0.5000 0.8892 [4 per cell]
Pb: 0.0096 0.5000 0.8470 [4 per cell]
Pb: 0.2445 0.0000 0.7105 [4 per cell]


(10)
# NdHoPb2

Crystalline NdHoPb2 at its relaxed geometry (GGA-PBE, Alexandria).

Results
E_form (eV/atom): -0.50
Total energy (eV per atom): -4.693

abc: 4.5797 4.4967 6.3355
angles: 90.00 111.12 90.00
Space group Pm (No. 6)
Asymmetric unit:
Nd: 0.0000 0.0000 0.0000 [1 per cell]
Ho: 0.2593 0.5000 0.5225 [1 per cell]
Pb: 0.5322 0.5000 0.0642 [1 per cell]
Pb: 0.7281 0.0000 0.4603 [1 per cell]


(11)
# NdHoPb2

Crystalline NdHoPb2 at its relaxed geometry (GGA-PBE, Alexandria).

Results
E_form (eV/atom): -0.34
Total energy (eV per atom): -4.530

abc: 4.8065 4.8065 20.3857
angles: 90.00 90.00 120.00
Space group R3m (No. 160, hexagonal axes)
Asymmetric unit:
Nd: 0.0000 0.0000 0.0000 [3 per cell]
Ho: 0.0000 0.0000 0.8227 [3 per cell]
Pb: 0.0000 0.0000 0.4169 [3 per cell]
Pb: 0.0000 0.0000 0.5750 [3 per cell]


(12)
# Nd9HoPb2

Crystalline Nd9HoPb2 at its relaxed geometry (GGA-PBE, Alexandria).

Results
E_form (eV/atom): -0.21
Total energy (eV per atom): -4.784

abc: 5.0130 5.0130 15.4420
angles: 90.00 90.00 90.00
Space group P4/mmm (No. 123)
Asymmetric unit:
Nd: 0.0000 0.0000 0.0000 [1 per cell]
Nd: 0.0000 0.0000 0.3377 [2 per cell]
Nd: 0.0000 0.5000 0.1724 [4 per cell]
Nd: 0.0000 0.5000 0.5000 [2 per cell]
Ho: 0.5000 0.5000 0.0000 [1 per cell]
Pb: 0.5000 0.5000 0.3369 [2 per cell]


(13)
# Nd5HoPb6

Crystalline Nd5HoPb6 at its relaxed geometry (GGA-PBE, Alexandria).

Results
E_form (eV/atom): -0.48
Total energy (eV per atom): -4.706

abc: 5.9696 14.7001 8.7920
angles: 90.00 101.93 90.00
Space group C2/m (No. 12)
Asymmetric unit:
Nd: 0.0000 0.0000 0.0000 [2 per cell]
Nd: 0.0000 0.3293 0.0000 [4 per cell]
Nd: 0.0000 0.3374 0.5000 [4 per cell]
Ho: 0.0000 0.0000 0.5000 [2 per cell]
Pb: 0.0035 0.1642 0.7445 [8 per cell]
Pb: 0.0223 0.5000 0.2464 [4 per cell]


(14)
# Nd2Ho8Pb

Crystalline Nd2Ho8Pb at its relaxed geometry (GGA-PBE, Alexandria).

Results
E_form (eV/atom): 0.06
Total energy (eV per atom): -4.472

abc: 15.4262 6.6776 6.9866
angles: 90.00 104.93 90.00
Space group C2/m (No. 12)
Asymmetric unit:
Nd: 0.1930 0.0000 0.4434 [4 per cell]
Ho: 0.0798 0.2650 0.7063 [8 per cell]
Ho: 0.1020 0.5000 0.1938 [4 per cell]
Ho: 0.2266 0.0000 0.0038 [4 per cell]
Pb: 0.0000 0.0000 0.0000 [2 per cell]


(15)
# NdHoPb6

Crystalline NdHoPb6 at its relaxed geometry (GGA-PBE, Alexandria).

Results
E_form (eV/atom): -0.32
Total energy (eV per atom): -4.266

abc: 4.9017 4.9017 9.8092
angles: 90.00 90.00 90.00
Space group P4/mmm (No. 123)
Asymmetric unit:
Nd: 0.0000 0.0000 0.0000 [1 per cell]
Ho: 0.0000 0.0000 0.5000 [1 per cell]
Pb: 0.0000 0.5000 0.2546 [4 per cell]
Pb: 0.5000 0.5000 0.0000 [1 per cell]
Pb: 0.5000 0.5000 0.5000 [1 per cell]


(16)
# Nd3HoPb2

Crystalline Nd3HoPb2 at its relaxed geometry (GGA-PBE, Alexandria).

Results
E_form (eV/atom): -0.44
Total energy (eV per atom): -4.820

abc: 4.6677 4.6677 8.8547
angles: 90.00 90.00 90.00
Space group P-4m2 (No. 115)
Asymmetric unit:
Nd: 0.0000 0.0000 0.0000 [1 per cell]
Nd: 0.0000 0.5000 0.6542 [2 per cell]
Ho: 0.5000 0.5000 0.0000 [1 per cell]
Pb: 0.0000 0.5000 0.2810 [2 per cell]


(17)
# Nd2HoPb2

Crystalline Nd2HoPb2 at its relaxed geometry (GGA-PBE, Alexandria).

Results
E_form (eV/atom): -0.39
Total energy (eV per atom): -4.691

abc: 10.1796 9.0023 7.2597
angles: 90.00 90.02 90.00
Space group P2_1/c (No. 14)
Asymmetric unit:
Nd: 0.0912 0.2493 0.0001 [4 per cell]
Nd: 0.3234 0.7489 0.4998 [4 per cell]
Ho: 0.3867 0.0905 0.2524 [4 per cell]
Pb: 0.1146 0.5571 0.7508 [4 per cell]
Pb: 0.3486 0.0742 0.7491 [4 per cell]


(18)
# Nd7Ho12Pb

Crystalline Nd7Ho12Pb at its relaxed geometry (GGA-PBE, Alexandria).

Results
E_form (eV/atom): -0.03
Total energy (eV per atom): -4.626

abc: 6.1862 9.4423 11.2331
angles: 83.30 79.75 89.95
Space group P-1 (No. 2)
Asymmetric unit:
Nd: 0.0000 0.0000 0.0000 [1 per cell]
Nd: 0.1507 0.3529 0.0556 [2 per cell]
Nd: 0.2063 0.8030 0.4001 [2 per cell]
Nd: 0.2466 0.2536 0.7492 [2 per cell]
Ho: 0.0532 0.4506 0.3559 [2 per cell]
Ho: 0.0936 0.9033 0.6978 [2 per cell]
Ho: 0.3010 0.7001 0.0959 [2 per cell]
Ho: 0.3494 0.1524 0.4503 [2 per cell]
Ho: 0.4007 0.6003 0.7924 [2 per cell]
Ho: 0.4516 0.0518 0.1525 [2 per cell]
Pb: 0.5000 0.5000 0.5000 [1 per cell]


(19)
# Nd5Ho8Pb

Crystalline Nd5Ho8Pb at its relaxed geometry (GGA-PBE, Alexandria).

Results
E_form (eV/atom): 0.16
Total energy (eV per atom): -4.419

abc: 9.6288 9.6288 10.1124
angles: 90.00 90.00 90.00
Space group I-4 (No. 82)
Asymmetric unit:
Nd: 0.0000 0.0000 0.0000 [2 per cell]
Nd: 0.1003 0.7856 0.4228 [8 per cell]
Ho: 0.0703 0.6776 0.0999 [8 per cell]
Ho: 0.0801 0.8124 0.7556 [8 per cell]
Pb: 0.0000 0.5000 0.7500 [2 per cell]


(20)
# NdHoPb

Crystalline NdHoPb at its relaxed geometry (GGA-PBE, Alexandria).

Results
E_form (eV/atom): -0.23
Total energy (eV per atom): -4.578

abc: 5.2562 5.2562 3.9976
angles: 90.00 90.00 120.00
Space group P3m1 (No. 156)
Asymmetric unit:
Nd: 0.0000 0.0000 0.0000 [1 per cell]
Ho: 0.3333 0.6667 0.5168 [1 per cell]
Pb: 0.6667 0.3333 0.4443 [1 per cell]


(21)
# NdHo3Pb3

Crystalline NdHo3Pb3 at its relaxed geometry (GGA-PBE, Alexandria).

Results
E_form (eV/atom): -0.37
Total energy (eV per atom): -4.602

abc: 9.2898 9.2898 5.5621
angles: 90.00 90.00 120.00
Space group P6_3/m (No. 176)
Asymmetric unit:
Nd: 0.3333 0.6667 0.2500 [2 per cell]
Ho: 0.0066 0.2352 0.2500 [6 per cell]
Pb: 0.0765 0.4495 0.7500 [6 per cell]


(22)
# Nd6HoPb10

Crystalline Nd6HoPb10 at its relaxed geometry (GGA-PBE, Alexandria).

Results
E_form (eV/atom): -0.41
Total energy (eV per atom): -4.541

abc: 9.5843 9.5843 6.5887
angles: 90.00 90.00 120.00
Space group P-31m (No. 162)
Asymmetric unit:
Nd: 0.0000 0.3886 0.2359 [6 per cell]
Ho: 0.0000 0.0000 0.0000 [1 per cell]
Pb: 0.0000 0.2575 0.7035 [6 per cell]
Pb: 0.3333 0.6667 0.0000 [2 per cell]
Pb: 0.3333 0.6667 0.5000 [2 per cell]